(1)
The following is a PBE calculation of a relaxed structure of BaH6Se2N2, from the Alexandria database.

Cell: 4.9260 4.9834 8.2310 Å, 78.72 74.81 82.30°
Positions (direct):
Ba: 0.0000 0.0000 0.0000
H: 0.0636 0.3977 0.6341
H: 0.3232 0.1997 0.5325
H: 0.3793 0.3752 0.6698
H: 0.6207 0.6248 0.3302
H: 0.6768 0.8003 0.4675
H: 0.9364 0.6023 0.3659
Se: 0.3833 0.3793 0.1374
Se: 0.6167 0.6207 0.8626
N: 0.2358 0.2629 0.6474
N: 0.7642 0.7371 0.3526

Calculated values
Its space-group type is P-1, No. 2. For the total energy, the calculation gives -4.780 eV per atom. As for the density of states at the Fermi level: 0.0 states/eV/f.u.

***

(2)
The following is a PBE calculation of a relaxed structure of KBeSN2, from the Alexandria database.

Cell: 4.7653 4.7653 6.1059 Å, 90.00 90.00 90.00°
Positions (direct):
K: 0.0000 0.0000 0.0000
Be: 0.5000 0.5000 0.5000
S: 0.0000 0.0000 0.5000
N: 0.0000 0.5000 0.0000
N: 0.5000 0.0000 0.0000

Calculated values
Its space-group type is P4/mmm, No. 123. The energy relative to the lowest polymorph listed for this composition is 7.65 eV/f.u. The calculation puts the raw formation energy at 2.605 eV/atom. As for the density of states at the Fermi level: 1.6 states/eV/f.u.

***

(3)
The following is a PBE calculation of a relaxed structure of Ca2TmZrP4, from the Alexandria database.

Cell: 6.8280 3.9210 7.0304 Å, 90.00 108.68 90.00°
Positions (direct):
Ca: 0.0000 0.0000 0.0000
Ca: 0.5000 0.5000 0.0000
Tm: 0.0000 0.5000 0.5000
Zr: 0.5000 0.0000 0.5000
P: 0.2525 0.0000 0.7296
P: 0.2665 0.5000 0.2743
P: 0.7335 0.5000 0.7257
P: 0.7475 0.0000 0.2704

Calculated values
The formation energy from the elements is -1.236 eV/atom. Its space-group type is P2/m, No. 10. As for the density of states at the Fermi level: 3.6 states/eV/f.u.